[1]
VASP calculation (PBE) on TmScU2P4 after structural relaxation.

Computed properties:
space group	P2/m
mass density	8.1	g/cm³
ΔE_f	-1.2562	eV per atom
calculated volume	167.6	Å³/f.u.

Cell and atoms, written as CIF:
```
data_TmScU2P4
_chemical_formula_sum 'Tm1 Sc1 U2 P4'
_symmetry_space_group_name_H-M 'P 1'
_symmetry_Int_Tables_number 1
_symmetry_space_group_name_Hall 'P 1'
_cell_length_a 3.8838
_cell_length_b 6.7211
_cell_length_c 6.8002
_cell_angle_alpha 109.26
_cell_angle_beta 90.00
_cell_angle_gamma 90.00
loop_
_atom_site_label
_atom_site_type_symbol
_atom_site_fract_x
_atom_site_fract_y
_atom_site_fract_z
_atom_site_occupancy
P1 P 0.5000 0.7575 0.7569 1
P2 P 0.0000 0.7542 0.2465 1
P3 P 0.5000 0.2425 0.2431 1
P4 P 0.0000 0.2458 0.7535 1
Tm1 Tm 0.5000 0.5000 0.0000 1
U1 U 0.0000 0.5000 0.5000 1
U2 U 0.5000 0.0000 0.5000 1
Sc1 Sc 0.0000 0.0000 0.0000 1
```

=====

[2]
VASP calculation (PBE) on HfCu3S after structural relaxation.

Computed properties:
space group	Pm-3m
formation energy from raw total energies	1511	meV per atom
mass density	5.7	g/cm³
calculated volume	117.0	Å³/f.u.
energy above the most stable polymorph in this dataset	5.214	eV per formula unit

Cell and atoms, written as CIF:
```
data_HfCu3S
_chemical_formula_sum 'Hf1 Cu3 S1'
_symmetry_space_group_name_H-M 'P 1'
_symmetry_Int_Tables_number 1
_symmetry_space_group_name_Hall 'P 1'
_cell_length_a 4.8913
_cell_length_b 4.8913
_cell_length_c 4.8913
_cell_angle_alpha 90.00
_cell_angle_beta 90.00
_cell_angle_gamma 90.00
loop_
_atom_site_label
_atom_site_type_symbol
_atom_site_fract_x
_atom_site_fract_y
_atom_site_fract_z
_atom_site_occupancy
Cu1 Cu 0.0000 0.5000 0.0000 1
Cu2 Cu 0.0000 0.0000 0.5000 1
Cu3 Cu 0.5000 0.0000 0.0000 1
Hf1 Hf 0.0000 0.0000 0.0000 1
S1 S 0.5000 0.5000 0.5000 1
```

=====

[3]
VASP calculation (PBE) on BaFe2Se after structural relaxation.

Computed properties:
space group	Immm
formation energy from raw total energies	440	meV per atom
mass density	6.1	g/cm³
calculated volume	89.9	Å³/f.u.

Cell and atoms, written as CIF:
```
data_BaFe2Se
_chemical_formula_sum 'Ba1 Fe2 Se1'
_symmetry_space_group_name_H-M 'P 1'
_symmetry_Int_Tables_number 1
_symmetry_space_group_name_Hall 'P 1'
_cell_length_a 5.9541
_cell_length_b 5.9541
_cell_length_c 5.9541
_cell_angle_alpha 148.17
_cell_angle_beta 125.28
_cell_angle_gamma 64.71
loop_
_atom_site_label
_atom_site_type_symbol
_atom_site_fract_x
_atom_site_fract_y
_atom_site_fract_z
_atom_site_occupancy
Ba1 Ba 0.7500 0.2500 0.5000 1
Se1 Se 0.2500 0.7500 0.5000 1
Fe1 Fe 0.0484 0.0484 0.0000 1
Fe2 Fe 0.4516 0.4516 0.0000 1
```

=====

[4]
VASP calculation (PBE) on SbWSe2 after structural relaxation.

Computed properties:
space group	P4/mmm
formation energy from raw total energies	692	meV per atom
mass density	10.0	g/cm³
calculated volume	77.2	Å³/f.u.

Cell and atoms, written as CIF:
```
data_SbWSe2
_chemical_formula_sum 'Sb1 W1 Se2'
_symmetry_space_group_name_H-M 'P 1'
_symmetry_Int_Tables_number 1
_symmetry_space_group_name_Hall 'P 1'
_cell_length_a 3.2230
_cell_length_b 4.8941
_cell_length_c 4.8941
_cell_angle_alpha 90.00
_cell_angle_beta 90.00
_cell_angle_gamma 90.00
loop_
_atom_site_label
_atom_site_type_symbol
_atom_site_fract_x
_atom_site_fract_y
_atom_site_fract_z
_atom_site_occupancy
Sb1 Sb 0.5000 0.0000 0.5000 1
Se1 Se 0.0000 0.0000 0.0000 1
Se2 Se 0.0000 0.5000 0.5000 1
W1 W 0.5000 0.5000 0.0000 1
```

=====

[5]
VASP calculation (PBE) on Y2ZrBr after structural relaxation.

Computed properties:
space group	Pmmm
formation energy from raw total energies	17	meV per atom
mass density	5.3	g/cm³
calculated volume	109.6	Å³/f.u.
energy above the most stable polymorph in this dataset	1.962	eV per formula unit

Cell and atoms, written as CIF:
```
data_Y2ZrBr
_chemical_formula_sum 'Y2 Zr1 Br1'
_symmetry_space_group_name_H-M 'P 1'
_symmetry_Int_Tables_number 1
_symmetry_space_group_name_Hall 'P 1'
_cell_length_a 3.4259
_cell_length_b 5.9074
_cell_length_c 5.4168
_cell_angle_alpha 90.00
_cell_angle_beta 90.00
_cell_angle_gamma 90.00
loop_
_atom_site_label
_atom_site_type_symbol
_atom_site_fract_x
_atom_site_fract_y
_atom_site_fract_z
_atom_site_occupancy
Y1 Y 0.5000 0.5000 0.0000 1
Y2 Y 0.0000 0.0000 0.0000 1
Zr1 Zr 0.5000 0.0000 0.5000 1
Br1 Br 0.0000 0.5000 0.5000 1
```

=====

[6]
VASP calculation (PBE) on LiLaPuGe after structural relaxation.

Computed properties:
space group	F-43m
mass density	7.7	g/cm³
ΔE_f	-0.2141	eV per atom
calculated volume	99.9	Å³/f.u.

Cell and atoms, written as CIF:
```
data_LiLaPuGe
_chemical_formula_sum 'Li1 La1 Pu1 Ge1'
_symmetry_space_group_name_H-M 'P 1'
_symmetry_Int_Tables_number 1
_symmetry_space_group_name_Hall 'P 1'
_cell_length_a 5.2074
_cell_length_b 5.2074
_cell_length_c 5.2074
_cell_angle_alpha 60.00
_cell_angle_beta 60.00
_cell_angle_gamma 60.00
loop_
_atom_site_label
_atom_site_type_symbol
_atom_site_fract_x
_atom_site_fract_y
_atom_site_fract_z
_atom_site_occupancy
Pu1 Pu 0.5000 0.5000 0.5000 1
Ge1 Ge 0.2500 0.2500 0.2500 1
Li1 Li 0.7500 0.7500 0.7500 1
La1 La 0.0000 0.0000 0.0000 1
```

=====

[7]
VASP calculation (PBE) on BaTiOs after structural relaxation.

Computed properties:
space group	Cm
mass density	6.9	g/cm³
ΔE_f	0.0738	eV per atom
calculated volume	90.8	Å³/f.u.
energy above the most stable polymorph in this dataset	0.135	eV per formula unit

Cell and atoms, written as CIF:
```
data_BaTiOs
_chemical_formula_sum 'Ba4 Ti4 Os4'
_symmetry_space_group_name_H-M 'P 1'
_symmetry_Int_Tables_number 1
_symmetry_space_group_name_Hall 'P 1'
_cell_length_a 11.4685
_cell_length_b 4.3291
_cell_length_c 7.4904
_cell_angle_alpha 90.00
_cell_angle_beta 102.44
_cell_angle_gamma 90.00
loop_
_atom_site_label
_atom_site_type_symbol
_atom_site_fract_x
_atom_site_fract_y
_atom_site_fract_z
_atom_site_occupancy
Ti1 Ti 0.2660 0.0000 0.0397 1
Ti2 Ti 0.2660 0.5000 0.5397 1
Ti3 Ti 0.4160 0.0000 0.7560 1
Ti4 Ti 0.4160 0.5000 0.2560 1
Ba1 Ba 0.0288 0.5000 0.7953 1
Ba2 Ba 0.0288 0.0000 0.2953 1
Ba3 Ba 0.6698 0.5000 0.0066 1
Ba4 Ba 0.6698 0.0000 0.5066 1
Os1 Os 0.3342 0.0000 0.3956 1
Os2 Os 0.3342 0.5000 0.8956 1
Os3 Os 0.4799 0.0000 0.1104 1
Os4 Os 0.4799 0.5000 0.6104 1
```

=====

[8]
VASP calculation (PBE) on TlSi2BS6 after structural relaxation.

Computed properties:
space group	C2/c
formation energy from raw total energies	-355	meV per atom
mass density	3.4	g/cm³
calculated volume	226.7	Å³/f.u.

Cell and atoms, written as CIF:
```
data_TlSi2BS6
_chemical_formula_sum 'Tl2 Si4 B2 S12'
_symmetry_space_group_name_H-M 'P 1'
_symmetry_Int_Tables_number 1
_symmetry_space_group_name_Hall 'P 1'
_cell_length_a 6.3834
_cell_length_b 8.9310
_cell_length_c 8.9310
_cell_angle_alpha 90.85
_cell_angle_beta 71.38
_cell_angle_gamma 71.38
loop_
_atom_site_label
_atom_site_type_symbol
_atom_site_fract_x
_atom_site_fract_y
_atom_site_fract_z
_atom_site_occupancy
S1 S 0.8173 0.7450 0.0103 1
S2 S 0.3173 0.0103 0.7450 1
S3 S 0.4698 0.7195 0.3688 1
S4 S 0.0302 0.6312 0.2805 1
S5 S 0.9698 0.3688 0.7195 1
S6 S 0.6827 0.9897 0.2550 1
S7 S 0.9992 0.2287 0.3616 1
S8 S 0.4992 0.3616 0.2287 1
S9 S 0.5008 0.6384 0.7713 1
S10 S 0.0008 0.7713 0.6384 1
S11 S 0.1827 0.2550 0.9897 1
S12 S 0.5302 0.2805 0.6312 1
Si1 Si 0.8449 0.6202 0.7925 1
Si2 Si 0.6551 0.2075 0.3798 1
Si3 Si 0.1551 0.3798 0.2075 1
Si4 Si 0.3449 0.7925 0.6202 1
B1 B 0.7500 0.7510 0.2490 1
B2 B 0.2500 0.2490 0.7510 1
Tl1 Tl 0.2500 0.8980 0.1020 1
Tl2 Tl 0.7500 0.1020 0.8980 1
```

=====

[9]
VASP calculation (PBE) on LaAs2W after structural relaxation.

Computed properties:
space group	I-4m2
mass density	9.1	g/cm³
ΔE_f	0.2124	eV per atom
calculated volume	86.6	Å³/f.u.
energy above the most stable polymorph in this dataset	2.773	eV per formula unit

Cell and atoms, written as CIF:
```
data_LaAs2W
_chemical_formula_sum 'La1 As2 W1'
_symmetry_space_group_name_H-M 'P 1'
_symmetry_Int_Tables_number 1
_symmetry_space_group_name_Hall 'P 1'
_cell_length_a 5.8159
_cell_length_b 5.8159
_cell_length_c 5.8159
_cell_angle_alpha 138.15
_cell_angle_beta 138.15
_cell_angle_gamma 60.67
loop_
_atom_site_label
_atom_site_type_symbol
_atom_site_fract_x
_atom_site_fract_y
_atom_site_fract_z
_atom_site_occupancy
As1 As 0.2500 0.7500 0.5000 1
As2 As 0.0000 0.0000 0.0000 1
W1 W 0.7500 0.2500 0.5000 1
La1 La 0.5000 0.5000 0.0000 1
```

=====

[10]
VASP calculation (PBE) on TbCe2Y after structural relaxation.

Computed properties:
space group	Fm-3m
mass density	6.9	g/cm³
ΔE_f	0.2381	eV per atom
calculated volume	127.8	Å³/f.u.
energy above the most stable polymorph in this dataset	0.572	eV per formula unit

Cell and atoms, written as CIF:
```
data_TbCe2Y
_chemical_formula_sum 'Tb1 Ce2 Y1'
_symmetry_space_group_name_H-M 'P 1'
_symmetry_Int_Tables_number 1
_symmetry_space_group_name_Hall 'P 1'
_cell_length_a 5.6542
_cell_length_b 5.6542
_cell_length_c 5.6542
_cell_angle_alpha 60.00
_cell_angle_beta 60.00
_cell_angle_gamma 60.00
loop_
_atom_site_label
_atom_site_type_symbol
_atom_site_fract_x
_atom_site_fract_y
_atom_site_fract_z
_atom_site_occupancy
Ce1 Ce 0.7500 0.7500 0.7500 1
Ce2 Ce 0.2500 0.2500 0.2500 1
Tb1 Tb 0.0000 0.0000 0.0000 1
Y1 Y 0.5000 0.5000 0.5000 1
```

=====

[11]
VASP calculation (PBE) on PaVSi2W after structural relaxation.

Computed properties:
space group	I-4m2
formation energy from raw total energies	-428	meV per atom
mass density	10.2	g/cm³
calculated volume	85.4	Å³/f.u.

Cell and atoms, written as CIF:
```
data_PaVSi2W
_chemical_formula_sum 'Pa1 V1 Si2 W1'
_symmetry_space_group_name_H-M 'P 1'
_symmetry_Int_Tables_number 1
_symmetry_space_group_name_Hall 'P 1'
_cell_length_a 3.8996
_cell_length_b 3.8996
_cell_length_c 6.2548
_cell_angle_alpha 108.16
_cell_angle_beta 108.16
_cell_angle_gamma 90.00
loop_
_atom_site_label
_atom_site_type_symbol
_atom_site_fract_x
_atom_site_fract_y
_atom_site_fract_z
_atom_site_occupancy
V1 V 0.7500 0.2500 0.5000 1
Pa1 Pa 0.0000 0.0000 0.0000 1
Si1 Si 0.3941 0.3941 0.7883 1
Si2 Si 0.6059 0.6059 0.2117 1
W1 W 0.2500 0.7500 0.5000 1
```

=====

[12]
VASP calculation (PBE) on ScSiIr2 after structural relaxation.

Computed properties:
space group	Cm
formation energy from raw total energies	-674	meV per atom
mass density	12.5	g/cm³
calculated volume	60.8	Å³/f.u.

Cell and atoms, written as CIF:
```
data_ScSiIr2
_chemical_formula_sum 'Sc1 Si1 Ir2'
_symmetry_space_group_name_H-M 'P 1'
_symmetry_Int_Tables_number 1
_symmetry_space_group_name_Hall 'P 1'
_cell_length_a 4.9209
_cell_length_b 4.9209
_cell_length_c 4.4624
_cell_angle_alpha 74.04
_cell_angle_beta 74.04
_cell_angle_gamma 35.99
loop_
_atom_site_label
_atom_site_type_symbol
_atom_site_fract_x
_atom_site_fract_y
_atom_site_fract_z
_atom_site_occupancy
Sc1 Sc 0.5031 0.5031 0.5512 1
Si1 Si 0.2614 0.2614 0.1719 1
Ir1 Ir 0.7529 0.7529 0.6996 1
Ir2 Ir 0.9826 0.9826 0.0774 1
```